Record 1
Here is a relaxed structure of DyCuP2O8 from the Alexandria database. Energies are from PBE-GGA.

Geometry as extended XYZ:
```
12
Lattice="5.1473 0.0000 0.0000 -2.5736 4.4577 0.0000 0.0000 0.0000 6.4651" Properties=species:S:1:pos:R:3 pbc="T T T"
Dy 0.0000 0.0000 0.0000
Cu 0.0000 0.0000 3.2325
P 0.0000 2.9718 1.4553
P 2.5736 1.4859 5.0098
O 0.0000 1.4831 1.8775
O -1.2892 3.7161 1.8775
O 1.2844 0.7416 4.5876
O 0.0000 2.9718 6.3784
O 2.5736 1.4859 0.0867
O 1.2892 3.7161 1.8775
O 3.8629 0.7416 4.5876
O 2.5736 2.9746 4.5876
```

Results
space group: P-3m1, No. 164
DFT total energy: -84.14 eV for the cell shown
M_tot: 2.0 μB/f.u.
theoretical density: 4.66 Mg/m³
formation energy without anion corrections: -2.079 eV per atom
volume: 12.36 Å³ per atom

=====

Record 2
Here is a relaxed structure of DyCuPO from the Alexandria database. Energies are from PBE-GGA.

Geometry as extended XYZ:
```
8
Lattice="3.8703 0.0000 0.0000 0.0000 3.8703 0.0000 0.0000 0.0000 8.2309" Properties=species:S:1:pos:R:3 pbc="T T T"
Dy 0.9676 0.9676 1.1283
Dy 2.9027 2.9027 7.1025
Cu 0.9676 2.9027 4.1154
Cu 2.9027 0.9676 4.1154
P 0.9676 0.9676 5.4437
P 2.9027 2.9027 2.7872
O 0.9676 2.9027 0.0000
O 2.9027 0.9676 0.0000
```

Results
space group: P4/nmm, No. 129
DFT total energy: -52.21 eV for the cell shown
M_tot: 0.0 μB/f.u.
theoretical density: 7.35 Mg/m³
formation energy without anion corrections: -1.759 eV per atom
volume: 15.41 Å³ per atom

=====

Record 3
Here is a relaxed structure of DyPa2CuO8 from the Alexandria database. Energies are from PBE-GGA.

Geometry as extended XYZ:
```
12
Lattice="5.3391 0.0000 0.0000 -2.6696 4.6238 0.0000 0.0000 0.0000 6.0508" Properties=species:S:1:pos:R:3 pbc="T T T"
Dy 0.0000 0.0000 0.0000
Pa 0.0000 3.0825 2.3015
Pa 2.6696 1.5413 3.7492
Cu 0.0000 0.0000 3.0254
O 0.0000 1.5678 4.1533
O -1.3118 3.8399 4.1533
O 0.0000 3.0825 0.4224
O 1.3578 0.7839 1.8975
O 1.3118 3.8399 4.1533
O 2.6696 1.5413 5.6284
O 3.9813 0.7839 1.8975
O 2.6696 3.0560 1.8975
```

Results
space group: P-3m1, No. 164
DFT total energy: -96.64 eV for the cell shown
M_tot: 1.9 μB/f.u.
theoretical density: 9.07 Mg/m³
formation energy without anion corrections: -2.440 eV per atom
volume: 12.45 Å³ per atom

=====

Record 4
Here is a relaxed structure of Sr2DyCu3Pb2O8 from the Alexandria database. Energies are from PBE-GGA.

Geometry as extended XYZ:
```
16
Lattice="3.8348 0.0000 0.0000 0.0000 3.8348 0.0000 0.0000 0.0000 15.9877" Properties=species:S:1:pos:R:3 pbc="T T T"
Sr 0.0000 0.0000 3.5305
Sr 0.0000 0.0000 12.4572
Dy 0.0000 0.0000 0.0000
Cu 0.0000 0.0000 7.9939
Cu 1.9174 1.9174 1.6550
Cu 1.9174 1.9174 14.3327
Pb 1.9174 1.9174 6.1943
Pb 1.9174 1.9174 9.7934
O 0.0000 0.0000 6.1323
O 0.0000 0.0000 9.8554
O 0.0000 1.9174 1.4558
O 0.0000 1.9174 14.5319
O 1.9174 0.0000 1.4558
O 1.9174 0.0000 14.5319
O 1.9174 1.9174 4.0099
O 1.9174 1.9174 11.9778
```

Results
space group: P4/mmm, No. 123
DFT total energy: -94.83 eV for the cell shown
M_tot: 0.0 μB/f.u.
theoretical density: 7.56 Mg/m³
formation energy without anion corrections: -1.718 eV per atom
volume: 14.69 Å³ per atom

=====

Record 5
Here is a relaxed structure of DyCu4Pd3O12 from the Alexandria database. Energies are from PBE-GGA.

Geometry as extended XYZ:
```
20
Lattice="-3.7331 3.7331 3.7331 3.7331 -3.7331 3.7331 3.7331 3.7331 -3.7331" Properties=species:S:1:pos:R:3 pbc="T T T"
Dy 0.0000 0.0000 0.0000
Cu 1.8665 1.8665 -1.8665
Cu 1.8665 -1.8665 1.8665
Cu -1.8665 1.8665 1.8665
Cu 1.8665 1.8665 1.8665
Pd 3.7331 0.0000 0.0000
Pd 0.0000 3.7331 0.0000
Pd 0.0000 0.0000 3.7331
O 3.7331 2.4208 -1.5155
O 2.2176 0.0000 1.3123
O 5.2486 0.0000 1.3123
O 1.3123 2.2176 0.0000
O 2.4208 -1.5155 3.7331
O 0.0000 1.3123 2.2176
O 3.7331 2.4208 1.5155
O 1.3123 5.2486 0.0000
O 2.4208 1.5155 3.7331
O -1.5155 3.7331 2.4208
O 1.5155 3.7331 2.4208
O 0.0000 1.3123 5.2486
```

Results
space group: Im-3, No. 204
DFT total energy: -110.94 eV for the cell shown
M_tot: 1.7 μB/f.u.
theoretical density: 7.40 Mg/m³
formation energy without anion corrections: -0.744 eV per atom
volume: 10.40 Å³ per atom

=====

Record 6
Here is a relaxed structure of DyCuPdO4 from the Alexandria database. Energies are from PBE-GGA.

Geometry as extended XYZ:
```
14
Lattice="-3.1451 3.3587 4.2941 3.1451 -3.3587 4.2941 3.1451 3.3587 -4.2941" Properties=species:S:1:pos:R:3 pbc="T T T"
Dy 0.0000 0.0000 0.0000
Dy 0.0000 3.3587 0.0000
Cu 3.1451 1.6793 1.0155
Cu 0.0000 1.6793 3.2785
Pd 1.5726 1.6793 -2.1470
Pd 1.5726 -1.6793 2.1470
O 3.1451 -0.2315 2.0136
O 3.1451 3.1272 -2.0136
O 1.4819 1.6793 -0.0452
O 1.6632 -1.6793 4.2488
O 1.4819 5.0380 0.0452
O 1.6632 1.6793 4.3393
O 0.0000 0.2315 6.3076
O 0.0000 3.5902 2.2805
```

Results
space group: Imma, No. 74
DFT total energy: -87.70 eV for the cell shown
M_tot: 0.0 μB/f.u.
theoretical density: 7.26 Mg/m³
formation energy without anion corrections: -1.447 eV per atom
volume: 12.96 Å³ per atom

=====

Record 7
Here is a relaxed structure of DyCuPtO4 from the Alexandria database. Energies are from PBE-GGA.

Geometry as extended XYZ:
```
14
Lattice="-3.2114 3.6069 4.3221 3.2114 -3.6069 4.3221 3.2114 3.6069 -4.3221" Properties=species:S:1:pos:R:3 pbc="T T T"
Dy 0.0000 0.0000 0.0000
Dy 0.0000 3.6069 0.0000
Cu 3.2114 1.8034 0.4316
Cu 0.0000 1.8034 3.8906
Pt 1.6057 1.8034 -2.1611
Pt 1.6057 -1.8034 2.1611
O 3.2114 -0.4763 2.0809
O 3.2114 3.1306 -2.0809
O 1.4108 1.8034 -0.0518
O 1.8006 -1.8034 4.2704
O 1.4108 5.4103 0.0518
O 1.8006 1.8034 4.3739
O 0.0000 0.4763 6.4031
O 0.0000 4.0831 2.2412
```

Results
space group: Imma, No. 74
DFT total energy: -89.91 eV for the cell shown
M_tot: 0.0 μB/f.u.
theoretical density: 8.05 Mg/m³
formation energy without anion corrections: -1.483 eV per atom
volume: 14.30 Å³ per atom

=====

Record 8
Here is a relaxed structure of RbDyCuO3 from the Alexandria database. Energies are from PBE-GGA.

Geometry as extended XYZ:
```
12
Lattice="7.5894 0.0000 0.0000 0.0000 3.6200 0.0000 -3.3353 0.0000 8.5250" Properties=species:S:1:pos:R:3 pbc="T T T"
Rb 0.9128 0.9050 1.6122
Rb 3.3412 2.7150 6.9127
Dy -0.3816 2.7150 7.3461
Dy 4.6357 0.9050 1.1789
Cu -1.7806 0.9050 5.3264
Cu 6.0347 2.7150 3.1986
O -1.0892 2.7150 5.1082
O -1.8771 0.9050 7.2669
O 3.1748 2.7150 1.0395
O 1.0793 0.9050 7.4855
O 6.1312 2.7150 1.2581
O 5.3433 0.9050 3.4168
```

Results
space group: P2_1/m, No. 11
DFT total energy: -72.48 eV for the cell shown
M_tot: 1.0 μB/f.u.
theoretical density: 5.10 Mg/m³
formation energy without anion corrections: -1.950 eV per atom
volume: 19.52 Å³ per atom

=====

Record 9
Here is a relaxed structure of RbDyCuO2 from the Alexandria database. Energies are from PBE-GGA.

Geometry as extended XYZ:
```
10
Lattice="7.5573 0.0000 0.0000 0.0000 5.6610 0.0000 -2.2878 0.0000 6.3076" Properties=species:S:1:pos:R:3 pbc="T T T"
Rb -0.5719 1.1128 1.5769
Rb -1.7158 4.5482 4.7307
Dy 2.0628 2.7866 4.7307
Dy 3.2067 2.8744 1.5769
Cu 3.7786 0.0000 0.0000
Cu 2.6347 0.0000 3.1538
O 1.8619 1.6554 2.8374
O 0.7180 4.0056 5.9912
O 4.5515 1.6554 0.3164
O 3.4076 4.0056 3.4702
```

Results
space group: P2/c, No. 13
DFT total energy: -56.18 eV for the cell shown
M_tot: 0.0 μB/f.u.
theoretical density: 4.23 Mg/m³
formation energy without anion corrections: -1.701 eV per atom
volume: 26.98 Å³ per atom

=====

Record 10
Here is a relaxed structure of Rb2DyCu2O4 from the Alexandria database. Energies are from PBE-GGA.

Geometry as extended XYZ:
```
9
Lattice="6.7604 -1.7378 0.0000 6.7604 1.7378 0.0000 -1.9720 0.0000 6.3544" Properties=species:S:1:pos:R:3 pbc="T T T"
Rb 1.6440 0.0000 0.3453
Rb 9.9048 0.0000 6.0090
Dy -0.9860 0.0000 3.1772
Cu 3.3879 0.0000 2.9998
Cu 8.1609 0.0000 3.3546
O 1.1968 0.0000 4.1804
O 4.9541 0.0000 4.4457
O 6.5946 0.0000 1.9087
O 10.3520 0.0000 2.1739
```

Results
space group: C2/m, No. 12
DFT total energy: -48.11 eV for the cell shown
M_tot: 0.9 μB/f.u.
theoretical density: 5.83 Mg/m³
formation energy without anion corrections: -1.505 eV per atom
volume: 16.59 Å³ per atom

=====

Record 11
Here is a relaxed structure of Dy2CuSe2O from the Alexandria database. Energies are from PBE-GGA.

Geometry as extended XYZ:
```
6
Lattice="3.4853 0.0000 0.0000 0.0000 3.4853 0.0000 0.0000 0.0000 14.1266" Properties=species:S:1:pos:R:3 pbc="T T T"
Dy 0.0000 0.0000 2.0193
Dy 0.0000 0.0000 12.1073
Cu 0.0000 0.0000 7.0633
Se 0.0000 0.0000 4.8309
Se 0.0000 0.0000 9.2956
O 0.0000 0.0000 0.0000
```

Results
space group: P4/mmm, No. 123
DFT total energy: -28.61 eV for the cell shown
M_tot: 0.0 μB/f.u.
theoretical density: 5.44 Mg/m³
formation energy without anion corrections: -0.564 eV per atom
volume: 28.60 Å³ per atom

=====

Record 12
Here is a relaxed structure of SrDyCu2O5 from the Alexandria database. Energies are from PBE-GGA.

Geometry as extended XYZ:
```
9
Lattice="3.8364 0.0000 0.0000 0.0000 3.8364 0.0000 0.0000 0.0000 7.5157" Properties=species:S:1:pos:R:3 pbc="T T T"
Sr 0.0000 0.0000 0.0000
Dy 0.0000 0.0000 3.7579
Cu 1.9182 1.9182 2.0002
Cu 1.9182 1.9182 5.5155
O 0.0000 1.9182 2.3314
O 0.0000 1.9182 5.1843
O 1.9182 0.0000 2.3314
O 1.9182 0.0000 5.1843
O 1.9182 1.9182 0.0000
```

Results
space group: P4/mmm, No. 123
DFT total energy: -56.17 eV for the cell shown
M_tot: 1.0 μB/f.u.
theoretical density: 6.86 Mg/m³
formation energy without anion corrections: -1.878 eV per atom
volume: 12.29 Å³ per atom

=====

Record 13
Here is a relaxed structure of Sr3DyCu2O6 from the Alexandria database. Energies are from PBE-GGA.

Geometry as extended XYZ:
```
12
Lattice="6.0633 0.0000 0.0000 -3.0316 5.2510 0.0000 0.0000 0.0000 6.4625" Properties=species:S:1:pos:R:3 pbc="T T T"
Sr 0.0000 0.0000 0.0000
Sr 0.0000 3.5006 4.0732
Sr 3.0316 1.7503 2.3893
Dy 0.0000 0.0000 3.2312
Cu 0.0000 3.5006 1.1327
Cu 3.0316 1.7503 5.3298
O 0.0000 1.7520 1.8815
O -1.5144 4.3750 1.8815
O 1.5173 0.8760 4.5810
O 1.5144 4.3750 1.8815
O 4.5460 0.8760 4.5810
O 3.0316 3.4990 4.5810
```

Results
space group: P-3m1, No. 164
DFT total energy: -71.46 eV for the cell shown
M_tot: 1.0 μB/f.u.
theoretical density: 5.23 Mg/m³
formation energy without anion corrections: -1.989 eV per atom
volume: 17.15 Å³ per atom

=====

Record 14
Here is a relaxed structure of Dy2CuTeO6 from the Alexandria database. Energies are from PBE-GGA.

Geometry as extended XYZ:
```
10
Lattice="5.6505 0.0000 0.0000 -2.8216 4.8972 0.0000 -0.0016 -3.2570 4.9642" Properties=species:S:1:pos:R:3 pbc="T T T"
Dy 0.0000 0.0000 0.0000
Dy 0.0021 3.2675 2.4516
Cu 0.0030 0.0074 3.2268
Te 2.8255 1.6342 0.6248
O -0.9867 1.3983 1.6363
O 1.2044 -1.5386 4.1650
O 1.6988 0.1600 1.6364
O 0.7363 1.8261 4.1667
O 2.1119 3.3422 1.6314
O 3.7087 -0.2664 4.1656
```

Results
space group: P1, No. 1
DFT total energy: -67.10 eV for the cell shown
M_tot: 0.0 μB/f.u.
theoretical density: 7.40 Mg/m³
formation energy without anion corrections: -2.091 eV per atom
volume: 13.74 Å³ per atom

=====

Record 15
Here is a relaxed structure of DyCuTeO6 from the Alexandria database. Energies are from PBE-GGA.

Geometry as extended XYZ:
```
18
Lattice="4.8797 0.0000 0.0000 0.0000 4.8797 0.0000 0.0000 0.0000 9.5684" Properties=species:S:1:pos:R:3 pbc="T T T"
Dy 0.0000 0.0000 0.0000
Dy 2.4399 2.4399 4.7842
Cu 0.0000 0.0000 3.1493
Cu 2.4399 2.4399 7.9335
Te 0.0000 0.0000 6.3372
Te 2.4399 2.4399 1.5529
O 0.8599 0.8599 4.7943
O 0.9596 0.9596 7.7366
O 1.0516 1.0516 1.6283
O 1.3883 3.4914 6.4125
O 1.4803 3.3994 2.9524
O 1.5800 3.2998 0.0101
O 3.2998 1.5800 0.0101
O 3.3994 1.4803 2.9524
O 3.4914 1.3883 6.4125
O 3.8282 3.8282 1.6283
O 3.9202 3.9202 7.7366
O 4.0198 4.0198 4.7943
```

Results
space group: P4_2nm, No. 102
DFT total energy: -109.41 eV for the cell shown
M_tot: 2.0 μB/f.u.
theoretical density: 6.55 Mg/m³
formation energy without anion corrections: -1.457 eV per atom
volume: 12.66 Å³ per atom